[1]
{
  "formula": "Zr2TlNi",
  "functional": "GGA-PBE",
  "state": "relaxed",
  "lattice": [[3.257, 0.009, 0.000], [-0.008, 3.257, 0.000], [0.000, 0.000, 7.704]],
  "species": ["Ni", "Zr", "Zr", "Tl"],
  "frac_coords": [[0.000, 0.000, 0.476], [0.000, 0.000, 0.015], [0.500, 0.500, 0.297], [0.500, 0.500, 0.713]],
  "de_polymorph_ev_per_fu": 0.25,
  "space_group": "P4mm",
  "m_tot_mub_per_cell": 0.00,
  "ef_mev_per_atom": -115
}

[2]
{
  "formula": "GaAgSbPb2",
  "functional": "GGA-PBE",
  "state": "relaxed",
  "lattice": [[-1.448, 2.062, 4.916], [-4.071, -2.720, -0.058], [2.707, -4.104, 2.519]],
  "species": ["Ga", "Ag", "Pb", "Pb", "Sb"],
  "frac_coords": [[0.000, 0.000, 0.000], [0.000, 0.500, 0.000], [0.500, 0.000, 0.000], [0.000, 0.000, 0.500], [0.500, 0.500, 0.500]],
  "e_form_raw_mev_per_atom": 359,
  "space_group": "P4/mmm",
  "m_tot_mub_per_cell": 0.00
}

[3]
{
  "formula": "YTiNi3",
  "functional": "GGA-PBE",
  "state": "relaxed",
  "lattice": [[-0.684, -1.989, -3.920], [4.028, 1.305, -1.365], [1.760, -3.759, 1.600]],
  "species": ["Ni", "Y", "Ni", "Ni", "Ti"],
  "frac_coords": [[0.500, 0.000, 0.000], [0.500, 0.500, 0.500], [0.000, 0.000, 0.500], [0.000, 0.500, 0.000], [0.000, 0.000, 0.000]],
  "de_polymorph_ev_per_fu": 0.00,
  "space_group": "Pm-3m",
  "m_tot_mub_per_cell": 0.00,
  "ef_mev_per_atom": 159
}

[4]
{
  "formula": "CsRb2NaI4",
  "functional": "GGA-PBE",
  "state": "relaxed",
  "lattice": [[5.243, 0.000, 0.000], [-2.622, 8.825, 0.000], [0.000, 0.000, 18.308]],
  "species": ["I", "Rb", "Rb", "I", "Cs", "I", "I", "Rb", "I", "Cs", "Rb", "I", "Na", "I", "I", "Na"],
  "frac_coords": [[0.556, 0.111, 0.250], [0.632, 0.264, 0.450], [0.632, 0.264, 0.050], [0.266, 0.531, 0.374], [0.119, 0.239, 0.750], [0.000, 0.000, 0.500], [0.266, 0.531, 0.126], [0.368, 0.736, 0.550], [0.444, 0.889, 0.750], [0.881, 0.761, 0.250], [0.368, 0.736, 0.950], [0.734, 0.469, 0.874], [0.849, 0.699, 0.750], [0.000, 0.000, 0.000], [0.734, 0.469, 0.626], [0.151, 0.301, 0.250]],
  "e_form_raw_mev_per_atom": -1424,
  "space_group": "Cmcm",
  "m_tot_mub_per_cell": 0.32
}

[5]
{
  "formula": "Cs2PaSn2O6",
  "functional": "GGA-PBE",
  "state": "relaxed",
  "lattice": [[-2.307, 4.957, -3.201], [2.115, -5.103, -3.157], [-7.086, -1.768, 2.369]],
  "species": ["O", "O", "O", "O", "Cs", "O", "Sn", "Sn", "Pa", "O", "Cs"],
  "frac_coords": [[0.298, 0.596, 0.334], [0.296, 0.094, 0.335], [0.704, 0.906, 0.665], [0.202, 0.906, 0.665], [0.781, 0.562, 0.270], [0.702, 0.404, 0.666], [0.102, 0.204, 0.209], [0.898, 0.796, 0.791], [0.500, 0.000, 0.500], [0.798, 0.094, 0.335], [0.219, 0.438, 0.730]],
  "e_form_raw_mev_per_atom": -2098,
  "space_group": "C2/m",
  "m_tot_mub_per_cell": 0.69
}

[6]
{
  "formula": "RbZrMn3",
  "functional": "GGA-PBE",
  "state": "relaxed",
  "lattice": [[5.273, 0.000, 0.000], [0.000, 5.273, 0.000], [0.000, 0.000, 5.273]],
  "species": ["Mn", "Mn", "Zr", "Mn", "Rb"],
  "frac_coords": [[0.000, 0.500, 0.000], [0.500, 0.000, 0.000], [0.000, 0.000, 0.000], [0.000, 0.000, 0.500], [0.500, 0.500, 0.500]],
  "de_polymorph_ev_per_fu": 0.00,
  "space_group": "Pm-3m",
  "m_tot_mub_per_cell": 10.59,
  "ef_mev_per_atom": 1232
}

[7]
{
  "formula": "Li14AlAg",
  "functional": "GGA-PBE",
  "state": "relaxed",
  "lattice": [[-4.603, 0.441, -3.441], [0.416, -5.038, 2.769], [-5.135, 3.604, 7.331]],
  "species": ["Al", "Li", "Li", "Ag", "Li", "Li", "Li", "Li", "Li", "Li", "Li", "Li", "Li", "Li", "Li", "Li"],
  "frac_coords": [[0.575, 0.425, 0.500], [0.174, 0.314, 0.000], [0.382, 0.618, 0.745], [0.071, 0.929, 0.500], [0.869, 0.131, 0.264], [0.686, 0.826, 0.000], [0.366, 0.123, 0.737], [0.679, 0.321, 0.000], [0.565, 0.920, 0.500], [0.185, 0.815, 0.000], [0.382, 0.618, 0.255], [0.080, 0.435, 0.500], [0.869, 0.131, 0.736], [0.877, 0.634, 0.263], [0.877, 0.634, 0.737], [0.366, 0.123, 0.263]],
  "space_group": "Amm2",
  "m_tot_mub_per_cell": 0.00,
  "ef_mev_per_atom": -40
}

[8]
{
  "formula": "Be5Te3",
  "functional": "GGA-PBE",
  "state": "relaxed",
  "lattice": [[10.171, -0.051, 0.000], [-5.260, 5.592, 0.000], [-2.456, -2.771, 5.758]],
  "species": ["Be", "Te", "Be", "Be", "Te", "Te", "Be", "Te", "Be", "Be", "Be", "Be", "Te", "Be", "Be", "Te"],
  "frac_coords": [[0.116, 0.580, 0.500], [0.653, 0.667, 0.500], [0.848, 0.786, 0.304], [0.194, 0.385, 0.683], [0.632, 0.775, 0.979], [0.784, 0.412, 0.181], [0.044, 0.982, 0.696], [0.153, 0.296, 0.021], [0.572, 0.988, 0.500], [0.759, 0.313, 0.812], [0.447, 0.001, 0.188], [0.011, 0.202, 0.317], [0.380, 0.055, 0.500], [0.503, 0.769, 0.212], [0.792, 0.057, 0.788], [0.104, 0.731, 0.819]],
  "e_form_raw_mev_per_atom": 214,
  "de_polymorph_ev_per_fu": 0.00,
  "space_group": "Cm",
  "m_tot_mub_per_cell": 0.00
}

no.,total energy (eV for the cell shown)
1,-25.70
2,-15.62
3,-30.91
4,-43.41
5,-72.03
6,-30.86
7,-34.02
8,-52.69